Entry 1:
The following is a PBE calculation of a relaxed structure of LaHfGe, from OQMD via LeMat-Bulk.

Cell: 4.9697 4.9697 4.9697 Å, 60.00 60.00 60.00°
Positions (direct):
Hf  0.7500  0.7500  0.7500
La  0.0000  0.0000  0.0000
Ge  0.2500  0.2500  0.2500

Computed properties:
The total energy is -5.71 eV per atom.

=====

Entry 2:
The following is a PBE calculation of a relaxed structure of LiHfGe2, from OQMD via LeMat-Bulk.

Cell: 4.6476 4.6476 4.6476 Å, 60.00 60.00 60.00°
Positions (direct):
Ge  0.0000  0.0000  0.0000
Hf  0.5000  0.5000  0.5000
Li  0.7500  0.7500  0.7500
Ge  0.2500  0.2500  0.2500

Computed properties:
The total energy is -5.17 eV per atom.

=====

Entry 3:
The following is a PBE calculation of a relaxed structure of LiHf2Ge, from OQMD via LeMat-Bulk.

Cell: 4.7251 4.7251 4.7251 Å, 60.00 60.00 60.00°
Positions (direct):
Ge  0.5000  0.5000  0.5000
Hf  0.0000  0.0000  0.0000
Li  0.2500  0.2500  0.2500
Hf  0.7500  0.7500  0.7500

Computed properties:
The total energy is -6.37 eV per atom.

=====

Entry 4:
The following is a PBE calculation of a relaxed structure of Li4HfGeO6, from OQMD via LeMat-Bulk.

Cell: 5.1637 5.1637 5.1108 Å, 99.51 99.51 120.17°
Positions (direct):
Li  0.3485  0.6515  0.5000
O  0.5961  0.9382  0.2273
Ge  0.8327  0.1673  0.0000
Li  0.5005  0.4995  0.0000
O  0.4457  0.0786  0.7678
Li  0.9793  0.0207  0.5000
O  0.7682  0.7864  0.7660
O  0.2136  0.2318  0.2340
Li  0.6658  0.3342  0.5000
O  0.0618  0.4039  0.7727
Hf  0.1663  0.8337  0.0000
O  0.9214  0.5543  0.2322

Computed properties:
The total energy is -6.67 eV per atom.

=====

Entry 5:
The following is a PBE calculation of a relaxed structure of Li2HfZrGe2Pd2, from OQMD via LeMat-Bulk.

Cell: 4.2114 4.2114 7.2150 Å, 90.00 90.00 90.00°
Positions (direct):
Ge  0.5000  0.5000  0.0000
Zr  0.5000  0.5000  0.5000
Li  0.0000  0.5000  0.7512
Pd  0.0000  0.5000  0.2332
Hf  0.0000  0.0000  0.0000
Ge  0.0000  0.0000  0.5000
Pd  0.5000  0.0000  0.7668
Li  0.5000  0.0000  0.2488

Computed properties:
The total energy is -5.72 eV per atom.

=====

Entry 6:
The following is a PBE calculation of a relaxed structure of LuHfGe2, from OQMD via LeMat-Bulk.

Cell: 4.8871 4.8871 4.8871 Å, 60.00 60.00 60.00°
Positions (direct):
Lu  0.2500  0.2500  0.2500
Ge  0.0000  0.0000  0.0000
Ge  0.7500  0.7500  0.7500
Hf  0.5000  0.5000  0.5000

Computed properties:
The total energy is -5.77 eV per atom.

=====

Entry 7:
The following is a PBE calculation of a relaxed structure of Lu2HfGe, from OQMD via LeMat-Bulk.

Cell: 4.9963 4.9963 4.9963 Å, 60.00 60.00 60.00°
Positions (direct):
Hf  0.2500  0.2500  0.2500
Lu  0.0000  0.0000  0.0000
Ge  0.5000  0.5000  0.5000
Lu  0.7500  0.7500  0.7500

Computed properties:
The total energy is -5.90 eV per atom.

=====

Entry 8:
The following is a PBE calculation of a relaxed structure of Lu4Hf2Ge3N3, from OQMD via LeMat-Bulk.

Cell: 5.7981 5.7981 14.1700 Å, 101.85 101.85 60.01°
Positions (direct):
Ge  0.2987  0.4225  0.7509
Ge  0.1229  0.8771  0.2500
Lu  0.3020  0.1304  0.9034
N  0.8266  0.3363  0.4998
Lu  0.9628  0.8050  0.9034
Lu  0.8696  0.6980  0.5966
Lu  0.1950  0.0373  0.5966
Hf  0.5284  0.3565  0.5830
Hf  0.3565  0.5284  0.0830
Ge  0.4225  0.2987  0.2509
Hf  0.4716  0.6435  0.4170
Ge  0.7013  0.5775  0.2491
Lu  0.1304  0.3020  0.4034
Lu  0.8050  0.9628  0.4034
N  0.3363  0.8266  0.9998
Lu  0.0373  0.1950  0.0966
N  0.0000  0.5000  0.0000
Lu  0.6980  0.8696  0.0966
Ge  0.5775  0.7013  0.7491
N  0.6637  0.1734  0.0002
N  0.1734  0.6637  0.5002
Hf  0.6435  0.4716  0.9170
Ge  0.8771  0.1229  0.7500
N  0.5000  0.0000  0.5000

Computed properties:
The total energy is -7.61 eV per atom.

=====

Question: What is the formula in the second record?
Answer: LiHfGe2